[1]
The following is a DFT calculation (GGA-PBE) of an optimized crystal structure of TlSb2Se.

Cell lengths 6.0625, 6.0625, 5.8793 Å; angles 68.86, 68.86, 37.46 degrees
Element x y z (fractional)
Se 0.7500 0.7500 0.7500
Sb 0.4624 0.4624 0.6017
Sb 0.0376 0.0376 0.8983
Tl 0.2500 0.2500 0.2500

Its excess energy over the best structure of this formula in the dataset is 102 meV/atom. The calculation puts the density of states at the Fermi level at 1.52 states/eV per cell. For the total energy, the calculation gives -0.1297 Ha/atom.

***

[2]
The following is a DFT calculation (GGA-PBE) of an optimized crystal structure of CoSi4Ni.

Cell lengths 4.7912, 4.7912, 4.7912 Å; angles 60.00, 60.00, 60.00 degrees
Element x y z (fractional)
Si 0.3751 0.3751 0.3751
Si 0.3751 0.8748 0.3751
Si 0.8748 0.3751 0.3751
Si 0.3751 0.3751 0.8748
Co 0.7500 0.7500 0.7500
Ni 0.0000 0.0000 0.0000

Its excess energy over the best structure of this formula in the dataset is 929 meV/atom. The calculation puts the density of states at the Fermi level at 3.22 states/eV per cell. For the total energy, the calculation gives -0.1939 Ha/atom.

***

[3]
The following is a DFT calculation (GGA-PBE) of an optimized crystal structure of MgCoW2.

Cell lengths 3.7555, 3.7555, 4.2793 Å; angles 90.00, 90.00, 90.00 degrees
Element x y z (fractional)
W 0.0000 0.0000 0.0000
W 0.5000 0.5000 0.0000
Mg 0.0000 0.5000 0.5000
Co 0.5000 0.0000 0.5000

The calculation puts the density of states at the Fermi level at 5.19 states/eV per cell. For the formation enthalpy at 0 K, the calculation gives 0.44 eV per atom. For the total energy, the calculation gives -0.3017 Ha/atom.

***

[4]
The following is a DFT calculation (GGA-PBE) of an optimized crystal structure of Sr3HfCr.

Cell lengths 6.1403, 6.1403, 6.1403 Å; angles 90.00, 90.00, 90.00 degrees
Element x y z (fractional)
Sr 0.5000 0.0000 0.0000
Sr 0.0000 0.0000 0.5000
Sr 0.0000 0.5000 0.0000
Cr 0.5000 0.5000 0.5000
Hf 0.0000 0.0000 0.0000

Its excess energy over the best structure of this formula in the dataset is 0 meV/atom. The calculation puts the density of states at the Fermi level at 13.50 states/eV per cell. For the formation enthalpy at 0 K, the calculation gives 1.38 eV per atom. For the total energy, the calculation gives -0.1301 Ha/atom.

***

[5]
The following is a DFT calculation (GGA-PBE) of an optimized crystal structure of CdIn2Sb.

Cell lengths 5.1640, 3.3572, 6.3465 Å; angles 77.96, 90.00, 90.00 degrees
Element x y z (fractional)
In 0.0000 0.9547 0.9579
In 0.5000 0.2919 0.2870
Sb 0.0000 0.7229 0.4731
Cd 0.5000 0.5305 0.7820

Its excess energy over the best structure of this formula in the dataset is 11 meV/atom. The calculation puts the density of states at the Fermi level at 1.31 states/eV per cell. For the total energy, the calculation gives -0.0948 Ha/atom.

***

[6]
The following is a DFT calculation (GGA-PBE) of an optimized crystal structure of LiAs2I6.

Cell lengths 4.4842, 8.8725, 9.7660 Å; angles 107.72, 103.27, 90.00 degrees
Element x y z (fractional)
I 0.3376 0.8901 0.6752
I 0.0083 0.2387 0.0166
I 0.3293 0.4392 0.6586
I 0.6624 0.1099 0.3248
I 0.9917 0.7613 0.9834
I 0.6707 0.5608 0.3414
As 0.1602 0.3236 0.3205
As 0.8398 0.6764 0.6795
Li 0.5000 0.0000 0.0000

Its excess energy over the best structure of this formula in the dataset is 0 meV/atom. The calculation puts the density of states at the Fermi level at 3.82 states/eV per cell. For the total energy, the calculation gives -0.0944 Ha/atom.

***

[7]
The following is a DFT calculation (GGA-PBE) of an optimized crystal structure of Dy8Ag2Os.

Cell lengths 5.1988, 6.8658, 9.0776 Å; angles 107.17, 106.64, 90.00 degrees
Element x y z (fractional)
Ag 0.1832 0.7120 0.3663
Ag 0.8168 0.2880 0.6337
Dy 0.1987 0.3052 0.3973
Dy 0.3401 0.0318 0.6802
Dy 0.5902 0.4299 0.1804
Dy 0.9728 0.2042 0.9456
Dy 0.4098 0.5701 0.8196
Dy 0.0272 0.7958 0.0544
Dy 0.6599 0.9682 0.3198
Dy 0.8013 0.6948 0.6027
Os 0.5000 0.0000 0.0000

Its excess energy over the best structure of this formula in the dataset is 0 meV/atom. The calculation puts the density of states at the Fermi level at 10.14 states/eV per cell. For the formation enthalpy at 0 K, the calculation gives -0.18 eV per atom. For the total energy, the calculation gives -0.1860 Ha/atom.

***

[8]
The following is a DFT calculation (GGA-PBE) of an optimized crystal structure of SrCo2Pb.

Cell lengths 4.7838, 4.7838, 9.6843 Å; angles 75.70, 75.70, 90.00 degrees
Element x y z (fractional)
Co 0.8756 0.1250 0.2500
Co 0.3750 0.1244 0.7500
Co 0.8744 0.6250 0.2500
Co 0.8750 0.1256 0.7500
Pb 0.7500 0.2500 0.5000
Pb 0.0000 0.0000 0.0000
Sr 0.5000 0.5000 0.0000
Sr 0.2500 0.7500 0.5000

The calculation puts the density of states at the Fermi level at 10.72 states/eV per cell. For the formation enthalpy at 0 K, the calculation gives 0.42 eV per atom. For the total energy, the calculation gives -0.1647 Ha/atom.

***

[9]
The following is a DFT calculation (GGA-PBE) of an optimized crystal structure of MgP2AuO.

Cell lengths 4.9853, 4.9853, 3.5941 Å; angles 90.00, 90.00, 90.00 degrees
Element x y z (fractional)
P 0.5000 0.0000 0.0000
P 0.0000 0.5000 0.0000
Au 0.5000 0.5000 0.5000
Mg 0.0000 0.0000 0.0000
O 0.0000 0.0000 0.5000

Its excess energy over the best structure of this formula in the dataset is 0 meV/atom. The calculation puts the density of states at the Fermi level at 4.82 states/eV per cell. For the total energy, the calculation gives -0.1360 Ha/atom.

***

[10]
The following is a DFT calculation (GGA-PBE) of an optimized crystal structure of Y4Er3.

Cell lengths 3.5406, 5.0125, 12.7898 Å; angles 101.30, 97.96, 90.00 degrees
Element x y z (fractional)
Y 0.4288 0.9288 0.8575
Y 0.7138 0.2138 0.4276
Y 0.2862 0.7862 0.5724
Y 0.5712 0.0712 0.1425
Er 0.0000 0.5000 0.0000
Er 0.8575 0.3575 0.7151
Er 0.1425 0.6425 0.2849

Its excess energy over the best structure of this formula in the dataset is 0 meV/atom. The calculation puts the density of states at the Fermi level at 9.48 states/eV per cell. For the formation enthalpy at 0 K, the calculation gives 0.03 eV per atom. For the total energy, the calculation gives -0.2067 Ha/atom.

***

[11]
The following is a DFT calculation (GGA-PBE) of an optimized crystal structure of LaNd6Er8.

Cell lengths 9.0805, 9.0805, 8.7456 Å; angles 58.72, 58.72, 60.00 degrees
Element x y z (fractional)
Nd 0.1015 0.5358 0.1333
Nd 0.7706 0.8985 0.8667
Nd 0.8985 0.4642 0.8667
Nd 0.4642 0.7706 0.8667
Nd 0.2294 0.1015 0.1333
Nd 0.5358 0.2294 0.1333
Er 0.2868 0.2494 0.5764
Er 0.7132 0.7506 0.4236
Er 0.4233 0.4233 0.7301
Er 0.8874 0.2868 0.5764
Er 0.2494 0.8874 0.5764
Er 0.1126 0.7132 0.4236
Er 0.5767 0.5767 0.2699
Er 0.7506 0.1126 0.4236
La 0.0000 0.0000 0.0000

The calculation puts the density of states at the Fermi level at 22.31 states/eV per cell. For the formation enthalpy at 0 K, the calculation gives 0.13 eV per atom. For the total energy, the calculation gives -0.1669 Ha/atom.

***

[12]
The following is a DFT calculation (GGA-PBE) of an optimized crystal structure of Fe2NiIr.

Cell lengths 2.6286, 2.6286, 7.1665 Å; angles 90.00, 90.00, 90.00 degrees
Element x y z (fractional)
Ir 0.5000 0.5000 0.2500
Fe 0.0000 0.0000 0.9884
Fe 0.0000 0.0000 0.5116
Ni 0.5000 0.5000 0.7500

The calculation puts the density of states at the Fermi level at 4.33 states/eV per cell. For the formation enthalpy at 0 K, the calculation gives -0.02 eV per atom. For the total energy, the calculation gives -0.2906 Ha/atom.

***

Q: What is the formula in the sixth record?
A: LiAs2I6